{
  "formula": "LiCdBO3",
  "functional": "PBE",
  "state": "relaxed",
  "total_magnetization_mub_per_fu": 0.00,
  "formation_energy_uncorrected_ev_per_atom": -1.9610,
  "dos_at_fermi_per_ev_cell": 0.0,
  "lattice": [[-5.153, -3.643, 5.592], [7.946, -2.705, -0.796], [0.971, 2.172, 2.309]],
  "species": ["Li", "Li", "Li", "Cd", "Cd", "Cd", "B", "B", "B", "O", "O", "O", "O", "O", "O", "O", "O", "O"],
  "frac_coords": [[0.291, 0.008, 0.500], [0.717, 0.709, 0.500], [0.992, 0.283, 0.500], [0.631, 0.995, 0.000], [0.005, 0.636, 0.000], [0.364, 0.369, 0.000], [0.000, 0.000, 0.000], [0.667, 0.333, 0.500], [0.333, 0.667, 0.500], [0.188, 0.063, 0.000], [0.937, 0.125, 0.000], [0.875, 0.812, 0.000], [0.250, 0.476, 0.500], [0.227, 0.750, 0.500], [0.524, 0.773, 0.500], [0.582, 0.438, 0.500], [0.857, 0.418, 0.500], [0.562, 0.143, 0.500]]
}